Record 1
# ScTaIn2 (PBE-GGA, relaxed)
data_ScTaIn2
_symmetry_space_group_name_H-M 'C m m 2'
_symmetry_Int_Tables_number 35
_symmetry_space_group_name_Hall 'C 2 -2'
_cell_length_a 4.277
_cell_length_b 4.391
_cell_length_c 9.370
_cell_angle_alpha 90.00
_cell_angle_beta 90.00
_cell_angle_gamma 90.00
loop_
_atom_site_label
_atom_site_type_symbol
_atom_site_fract_x
_atom_site_fract_y
_atom_site_fract_z
_atom_site_occupancy
Sc1 Sc 0.000 0.000 0.000 1
Ta1 Ta 0.000 0.500 0.225 1
In1 In 0.000 0.000 0.464 1
In2 In 0.000 0.500 0.740 1
# Formation energy from the elements: 0.25 eV/f.u.
# E_tot: -5.85 eV per atom
# Polymorph energy (0 for the lowest one): 146.2 meV/atom
# Theoretical density: 8.60 g cm⁻³

=====

Record 2
# ScTa2In2 (PBE-GGA, relaxed)
data_ScTa2In2
_symmetry_space_group_name_H-M 'I 4/m m m'
_symmetry_Int_Tables_number 139
_symmetry_space_group_name_Hall '-I 4 2'
_cell_length_a 4.253
_cell_length_b 4.253
_cell_length_c 12.829
_cell_angle_alpha 90.00
_cell_angle_beta 90.00
_cell_angle_gamma 90.00
loop_
_atom_site_label
_atom_site_type_symbol
_atom_site_fract_x
_atom_site_fract_y
_atom_site_fract_z
_atom_site_occupancy
Sc1 Sc 0.000 0.000 0.000 1
Ta1 Ta 0.000 0.000 0.406 1
In1 In 0.000 0.500 0.250 1
# Formation energy from the elements: 2.81 eV/f.u.
# E_tot: -6.54 eV per atom
# Theoretical density: 9.11 g cm⁻³

=====

Record 3
# Sc2TaIn (PBE-GGA, relaxed)
data_Sc2TaIn
_symmetry_space_group_name_H-M 'C 1 2/m 1'
_symmetry_Int_Tables_number 12
_symmetry_space_group_name_Hall '-C 2y'
_cell_length_a 6.250
_cell_length_b 9.026
_cell_length_c 3.010
_cell_angle_alpha 90.00
_cell_angle_beta 90.22
_cell_angle_gamma 90.00
loop_
_atom_site_label
_atom_site_type_symbol
_atom_site_fract_x
_atom_site_fract_y
_atom_site_fract_z
_atom_site_occupancy
Sc1 Sc 0.250 0.250 0.000 1
Ta1 Ta 0.000 0.000 0.500 1
In1 In 0.000 0.500 0.500 1
# Formation energy from the elements: 0.02 eV/f.u.
# E_tot: -6.81 eV per atom
# Theoretical density: 7.55 g cm⁻³

=====

Record 4
# ScTa2In (PBE-GGA, relaxed)
data_ScTa2In
_symmetry_space_group_name_H-M 'I 4/m m m'
_symmetry_Int_Tables_number 139
_symmetry_space_group_name_Hall '-I 4 2'
_cell_length_a 4.127
_cell_length_b 4.127
_cell_length_c 9.345
_cell_angle_alpha 90.00
_cell_angle_beta 90.00
_cell_angle_gamma 90.00
loop_
_atom_site_label
_atom_site_type_symbol
_atom_site_fract_x
_atom_site_fract_y
_atom_site_fract_z
_atom_site_occupancy
Sc1 Sc 0.000 0.000 0.000 1
Ta1 Ta 0.000 0.500 0.250 1
In1 In 0.000 0.000 0.500 1
# Formation energy from the elements: 0.14 eV/f.u.
# E_tot: -8.16 eV per atom
# Theoretical density: 10.89 g cm⁻³